# ScBe2Au2, relaxed, DFT PBE-GGA
data_ScBe2Au2
_cell_length_a 7.158
_cell_length_b 7.158
_cell_length_c 2.852
_cell_angle_alpha 90.00
_cell_angle_beta 90.00
_cell_angle_gamma 90.00
_symmetry_space_group_name_H-M 'P 1'
_symmetry_Int_Tables_number 1
_symmetry_space_group_name_Hall 'P 1'
loop_
_atom_site_label
_atom_site_fract_x
_atom_site_fract_y
_atom_site_fract_z
Sc1 0.000 0.000 0.000
Sc2 0.500 0.500 0.000
Be1 0.117 0.383 0.000
Be2 0.383 0.883 0.000
Be3 0.617 0.117 0.000
Be4 0.883 0.617 0.000
Au1 0.176 0.676 0.500
Au2 0.324 0.176 0.500
Au3 0.676 0.824 0.500
Au4 0.824 0.324 0.500
# Energy of formation from the pure elements = -278 meV per atom
# D(E_F) = 2.48 states/eV/f.u.
# Raw total energy = -43.5 eV/cell

---

# AcTiBi, relaxed, DFT PBE-GGA
data_AcTiBi
_cell_length_a 4.940
_cell_length_b 4.940
_cell_length_c 4.493
_cell_angle_alpha 90.00
_cell_angle_beta 90.00
_cell_angle_gamma 120.00
_symmetry_space_group_name_H-M 'P 1'
_symmetry_Int_Tables_number 1
_symmetry_space_group_name_Hall 'P 1'
loop_
_atom_site_label
_atom_site_fract_x
_atom_site_fract_y
_atom_site_fract_z
Ac1 0.000 0.000 0.000
Ti1 0.667 0.333 0.500
Bi1 0.333 0.667 0.500
# Energy of formation from the pure elements = -148 meV per atom
# D(E_F) = 4.04 states/eV/f.u.
# Raw total energy = -16.3 eV/cell

---

# Rb3Sn3Au8, relaxed, DFT PBE-GGA
data_Rb3Sn3Au8
_cell_length_a 9.126
_cell_length_b 9.126
_cell_length_c 9.126
_cell_angle_alpha 148.29
_cell_angle_beta 111.07
_cell_angle_gamma 77.87
_symmetry_space_group_name_H-M 'P 1'
_symmetry_Int_Tables_number 1
_symmetry_space_group_name_Hall 'P 1'
loop_
_atom_site_label
_atom_site_fract_x
_atom_site_fract_y
_atom_site_fract_z
Rb1 0.000 0.000 0.000
Rb2 0.290 0.290 0.000
Rb3 0.710 0.710 0.000
Sn1 0.290 0.500 0.790
Sn2 0.500 0.000 0.500
Sn3 0.710 0.500 0.210
Au1 0.023 0.664 0.359
Au2 0.153 0.865 0.288
Au3 0.305 0.664 0.641
Au4 0.423 0.135 0.288
Au5 0.577 0.865 0.712
Au6 0.695 0.336 0.359
Au7 0.847 0.135 0.712
Au8 0.977 0.336 0.641
# Energy of formation from the pure elements = -149 meV per atom
# D(E_F) = 3.90 states/eV/f.u.
# Raw total energy = -43.2 eV/cell

---

# AlHg2SbCl4, relaxed, DFT PBE-GGA
data_AlHg2SbCl4
_cell_length_a 12.366
_cell_length_b 9.043
_cell_length_c 18.208
_cell_angle_alpha 90.00
_cell_angle_beta 90.00
_cell_angle_gamma 90.00
_symmetry_space_group_name_H-M 'P 1'
_symmetry_Int_Tables_number 1
_symmetry_space_group_name_Hall 'P 1'
loop_
_atom_site_label
_atom_site_fract_x
_atom_site_fract_y
_atom_site_fract_z
Al1 0.107 0.082 0.123
Al2 0.107 0.918 0.623
Al3 0.393 0.418 0.623
Al4 0.393 0.582 0.123
Al5 0.607 0.418 0.877
Al6 0.607 0.582 0.377
Al7 0.893 0.082 0.377
Al8 0.893 0.918 0.877
Hg1 0.000 0.470 0.750
Hg2 0.000 0.500 0.000
Hg3 0.000 0.500 0.500
Hg4 0.000 0.530 0.250
Hg5 0.239 0.190 0.876
Hg6 0.239 0.810 0.376
Hg7 0.261 0.310 0.376
Hg8 0.261 0.690 0.876
Hg9 0.500 0.000 0.000
Hg10 0.500 0.000 0.500
Hg11 0.500 0.030 0.250
Hg12 0.500 0.970 0.750
Hg13 0.739 0.310 0.124
Hg14 0.739 0.690 0.624
Hg15 0.761 0.190 0.624
Hg16 0.761 0.810 0.124
Sb1 0.123 0.450 0.876
Sb2 0.123 0.550 0.376
Sb3 0.377 0.050 0.376
Sb4 0.377 0.950 0.876
Sb5 0.623 0.050 0.124
Sb6 0.623 0.950 0.624
Sb7 0.877 0.450 0.624
Sb8 0.877 0.550 0.124
Cl1 0.031 0.165 0.439
Cl2 0.031 0.835 0.939
Cl3 0.071 0.136 0.661
Cl4 0.071 0.864 0.161
Cl5 0.143 0.229 0.213
Cl6 0.143 0.771 0.713
Cl7 0.246 0.082 0.050
Cl8 0.246 0.918 0.550
Cl9 0.254 0.418 0.550
Cl10 0.254 0.582 0.050
Cl11 0.357 0.271 0.713
Cl12 0.357 0.729 0.213
Cl13 0.429 0.364 0.161
Cl14 0.429 0.636 0.661
Cl15 0.469 0.335 0.939
Cl16 0.469 0.665 0.439
Cl17 0.531 0.335 0.561
Cl18 0.531 0.665 0.061
Cl19 0.571 0.364 0.339
Cl20 0.571 0.636 0.839
Cl21 0.643 0.271 0.787
Cl22 0.643 0.729 0.287
Cl23 0.746 0.418 0.950
Cl24 0.746 0.582 0.450
Cl25 0.754 0.082 0.450
Cl26 0.754 0.918 0.950
Cl27 0.857 0.229 0.287
Cl28 0.857 0.771 0.787
Cl29 0.929 0.136 0.839
Cl30 0.929 0.864 0.339
Cl31 0.969 0.165 0.061
Cl32 0.969 0.835 0.561
# Raw total energy = -188.3 eV/cell